[1]
# Sm2TeAu

A geometry-optimized Sm2TeAu structure (GGA-PBE, Alexandria via LeMat-Bulk).

Unit cell a=4.630 b=4.131 c=12.086 alpha=99.84 beta=90.00 gamma=90.00
Element x y z (fractional)
Sm (0.750, 0.672, 0.343)
Sm (0.250, 0.328, 0.657)
Sm (0.750, 0.939, 0.879)
Sm (0.250, 0.061, 0.121)
Te (0.250, 0.194, 0.387)
Te (0.750, 0.806, 0.613)
Au (0.250, 0.458, 0.916)
Au (0.750, 0.542, 0.084)

Summary:
SG   Cmcm (63)
ρ   9.12 g/cm3
Energy above the most stable polymorph in this dataset   0 meV per atom
ΔE_f (raw)   -1.09 eV per atom

---

[2]
# SmTe3Au2

A geometry-optimized SmTe3Au2 structure (GGA-PBE, Alexandria via LeMat-Bulk).

Unit cell a=4.288 b=7.787 c=11.363 alpha=98.06 beta=100.87 gamma=90.00
Element x y z (fractional)
Sm (0.351, 0.962, 0.701)
Sm (0.649, 0.038, 0.299)
Te (0.248, 0.213, 0.496)
Te (0.078, 0.807, 0.155)
Te (0.418, 0.630, 0.836)
Te (0.752, 0.787, 0.504)
Te (0.582, 0.370, 0.164)
Te (0.922, 0.193, 0.845)
Au (0.295, 0.563, 0.591)
Au (0.705, 0.437, 0.409)
Au (0.949, 0.852, 0.899)
Au (0.051, 0.148, 0.101)

Summary:
SG   C2/m (12)
ρ   8.35 g/cm3
ΔE_f (raw)   -0.59 eV per atom

---

[3]
# Sm5TeAu2

A geometry-optimized Sm5TeAu2 structure (GGA-PBE, Alexandria via LeMat-Bulk).

Unit cell a=8.346 b=8.346 c=8.818 alpha=118.25 beta=118.25 gamma=90.00
Element x y z (fractional)
Sm (0.512, 0.704, 0.716)
Sm (0.796, 0.988, 0.284)
Sm (0.000, 0.000, 0.000)
Sm (0.500, 0.500, 0.000)
Sm (0.204, 0.012, 0.716)
Sm (0.704, 0.204, 0.716)
Sm (0.012, 0.512, 0.716)
Sm (0.296, 0.796, 0.284)
Sm (0.988, 0.488, 0.284)
Sm (0.488, 0.296, 0.284)
Te (0.750, 0.750, 0.500)
Te (0.250, 0.250, 0.500)
Au (0.138, 0.362, 0.000)
Au (0.638, 0.138, 0.000)
Au (0.362, 0.862, 0.000)
Au (0.862, 0.638, 0.000)

Summary:
SG   I4/mcm (140)
ρ   9.27 g/cm3
Energy above the most stable polymorph in this dataset   0 meV per atom
ΔE_f (raw)   -0.75 eV per atom

---

[4]
# Sm2TeAu

A geometry-optimized Sm2TeAu structure (GGA-PBE, Alexandria via LeMat-Bulk).

Unit cell a=4.249 b=4.249 c=7.973 alpha=74.58 beta=74.58 gamma=59.98
Element x y z (fractional)
Sm (0.744, 0.744, 0.768)
Sm (0.256, 0.256, 0.232)
Te (0.500, 0.500, 0.500)
Au (0.000, 0.000, 0.000)

Summary:
SG   R-3m (166)
ρ   8.75 g/cm3
Energy above the most stable polymorph in this dataset   29 meV per atom
ΔE_f (raw)   -1.06 eV per atom

---

[5]
# Sm5Te8Au

A geometry-optimized Sm5Te8Au structure (GGA-PBE, Alexandria via LeMat-Bulk).

Unit cell a=8.192 b=8.192 c=8.192 alpha=110.37 beta=107.68 gamma=110.37
Element x y z (fractional)
Sm (0.015, 0.376, 0.137)
Sm (0.863, 0.878, 0.239)
Sm (0.761, 0.624, 0.638)
Sm (0.500, 0.000, 0.500)
Sm (0.362, 0.122, 0.985)
Te (0.145, 0.747, 0.017)
Te (0.983, 0.128, 0.730)
Te (0.745, 0.237, 0.349)
Te (0.651, 0.396, 0.888)
Te (0.492, 0.604, 0.255)
Te (0.602, 0.872, 0.855)
Te (0.270, 0.253, 0.398)
Te (0.112, 0.763, 0.508)
Au (0.250, 0.500, 0.750)

Summary:
SG   I-4 (82)
ρ   7.73 g/cm3
ΔE_f (raw)   -1.21 eV per atom

---

[6]
# SmTeAu4

A geometry-optimized SmTeAu4 structure (GGA-PBE, Alexandria via LeMat-Bulk).

Unit cell a=5.697 b=5.697 c=5.697 alpha=60.00 beta=60.00 gamma=60.00
Element x y z (fractional)
Te (0.250, 0.250, 0.250)
Au (0.625, 0.625, 0.125)
Au (0.625, 0.125, 0.625)
Au (0.625, 0.625, 0.625)
Au (0.125, 0.625, 0.625)
Sm (0.000, 0.000, 0.000)

Summary:
SG   F-43m (216)
ρ   13.54 g/cm3
ΔE_f (raw)   -0.43 eV per atom

---

[7]
# Sm5TeAu2

A geometry-optimized Sm5TeAu2 structure (GGA-PBE, Alexandria via LeMat-Bulk).

Unit cell a=5.886 b=6.826 c=14.355 alpha=90.00 beta=90.00 gamma=115.54
Element x y z (fractional)
Sm (0.940, 0.880, 0.891)
Sm (0.940, 0.880, 0.609)
Sm (0.372, 0.744, 0.442)
Sm (0.372, 0.744, 0.058)
Sm (0.682, 0.364, 0.250)
Sm (0.318, 0.636, 0.750)
Sm (0.628, 0.256, 0.558)
Sm (0.628, 0.256, 0.942)
Sm (0.060, 0.120, 0.109)
Sm (0.060, 0.120, 0.391)
Te (0.743, 0.486, 0.750)
Te (0.257, 0.514, 0.250)
Au (0.815, 0.631, 0.425)
Au (0.815, 0.631, 0.075)
Au (0.185, 0.369, 0.575)
Au (0.185, 0.369, 0.925)

Summary:
SG   Cmcm (63)
ρ   8.13 g/cm3
Energy above the most stable polymorph in this dataset   222 meV per atom
ΔE_f (raw)   -0.53 eV per atom

---

[8]
# Sm2TeAu

A geometry-optimized Sm2TeAu structure (GGA-PBE, Alexandria via LeMat-Bulk).

Unit cell a=4.235 b=4.235 c=8.086 alpha=74.82 beta=74.82 gamma=60.00
Element x y z (fractional)
Sm (0.076, 0.076, 0.773)
Sm (0.258, 0.258, 0.227)
Te (0.499, 0.499, 0.503)
Au (0.668, 0.668, 0.997)

Summary:
SG   R3m (160)
ρ   8.67 g/cm3
Energy above the most stable polymorph in this dataset   59 meV per atom
ΔE_f (raw)   -1.03 eV per atom

---

[9]
# Sm2TeAu

A geometry-optimized Sm2TeAu structure (GGA-PBE, Alexandria via LeMat-Bulk).

Unit cell a=3.849 b=3.849 c=7.193 alpha=90.00 beta=90.00 gamma=90.00
Site moments in Bohr magnetons follow the coordinates.
Element x y z (fractional)
Te (0.500, 0.500, 0.500)  -0.01
Au (0.500, 0.500, 0.000)  0.03
Sm (0.000, 0.000, 0.758)  0.16
Sm (0.000, 0.000, 0.242)  0.16

Summary:
SG   P4/mmm (123)
ρ   9.74 g/cm3
Energy above the most stable polymorph in this dataset   141 meV per atom
ΔE_f (raw)   -0.95 eV per atom

---

[10]
# SmTlTe2Au

A geometry-optimized SmTlTe2Au structure (GGA-PBE, Alexandria via LeMat-Bulk).

Unit cell a=4.908 b=8.679 c=8.197 alpha=99.48 beta=90.00 gamma=90.00
Element x y z (fractional)
Sm (0.501, 0.000, 0.250)
Sm (0.499, 0.000, 0.750)
Tl (0.178, 0.500, 0.750)
Tl (0.822, 0.500, 0.250)
Te (0.685, 0.741, 0.953)
Te (0.685, 0.259, 0.547)
Te (0.315, 0.741, 0.453)
Te (0.315, 0.259, 0.047)
Au (0.000, 0.000, 0.000)
Au (0.000, 0.000, 0.500)

Summary:
SG   P2/c (13)
ρ   7.78 g/cm3
ΔE_f (raw)   -0.63 eV per atom

---

[11]
# Sm2ThAu

A geometry-optimized Sm2ThAu structure (GGA-PBE, Alexandria via LeMat-Bulk).

Unit cell a=3.676 b=3.676 c=8.432 alpha=90.00 beta=90.00 gamma=90.00
Element x y z (fractional)
Au (0.500, 0.500, 0.000)
Sm (0.000, 0.000, 0.785)
Sm (0.000, 0.000, 0.215)
Th (0.500, 0.500, 0.500)

Summary:
Formation energy from the elements   -382 meV/atom
SG   P4/mmm (123)
ρ   10.63 g/cm3
Energy above the most stable polymorph in this dataset   0 meV per atom

---

[12]
# Sm2ThAu3

A geometry-optimized Sm2ThAu3 structure (GGA-PBE, Alexandria via LeMat-Bulk).

Unit cell a=3.619 b=5.262 c=15.818 alpha=90.00 beta=90.00 gamma=90.00
Element x y z (fractional)
Sm (0.000, 0.000, 0.668)
Sm (0.000, 0.000, 0.332)
Sm (0.000, 0.500, 0.168)
Sm (0.000, 0.500, 0.832)
Th (0.000, 0.500, 0.500)
Th (0.000, 0.000, 0.000)
Au (0.501, 0.500, 0.667)
Au (0.499, 0.000, 0.500)
Au (0.501, 0.500, 0.333)
Au (0.499, 0.000, 0.167)
Au (0.501, 0.500, 0.000)
Au (0.499, 0.000, 0.833)

Summary:
Formation energy from the elements   -712 meV/atom
SG   Cmmm (65)
ρ   12.39 g/cm3